Entry 1:
# YCu2Re GGA-PBE relaxed
# DFT formation energy (eV per atom): 0.27
# Crystal system: monoclinic
# Space group: Pm, No. 6
data_YCu2Re
_chemical_formula_sum 'Y1 Cu2 Re1'
_space_group_name_H-M_alt 'P 1'
_space_group_IT_number 1
_cell_length_a 4.336
_cell_length_b 2.835
_cell_length_c 5.445
_cell_angle_alpha 75.69
_cell_angle_beta 90.00
_cell_angle_gamma 90.00
loop_
_space_group_symop_operation_xyz
'x,y,z'
loop_
_atom_site_label
_atom_site_fract_x
_atom_site_fract_y
_atom_site_fract_z
Cu1 0.000 0.176 0.015
Cu2 0.500 0.065 0.269
Re1 0.000 0.470 0.438
Y1 0.500 0.790 0.778

***

Entry 2:
# BaMn2Pb GGA-PBE relaxed
# DFT formation energy (eV per atom): 0.79
# Crystal system: trigonal
# Space group: R-3m, No. 166
data_BaMn2Pb
_chemical_formula_sum 'Ba1 Mn2 Pb1'
_space_group_name_H-M_alt 'P 1'
_space_group_IT_number 1
_cell_length_a 10.325
_cell_length_b 10.325
_cell_length_c 10.325
_cell_angle_alpha 19.52
_cell_angle_beta 19.52
_cell_angle_gamma 19.52
loop_
_space_group_symop_operation_xyz
'x,y,z'
loop_
_atom_site_label
_atom_site_fract_x
_atom_site_fract_y
_atom_site_fract_z
Mn1 0.991 0.991 0.991
Mn2 0.509 0.509 0.509
Ba1 0.750 0.750 0.750
Pb1 0.250 0.250 0.250

***

Entry 3:
# La2SmHo3Te6 GGA-PBE relaxed
# Raw formation energy (eV per atom): -1.39
# Crystal system: monoclinic
# Space group: C2/m, No. 12
data_La2SmHo3Te6
_chemical_formula_sum 'La2 Sm1 Ho3 Te6'
_space_group_name_H-M_alt 'P 1'
_space_group_IT_number 1
_cell_length_a 4.396
_cell_length_b 8.959
_cell_length_c 9.963
_cell_angle_alpha 104.33
_cell_angle_beta 102.75
_cell_angle_gamma 90.00
loop_
_space_group_symop_operation_xyz
'x,y,z'
loop_
_atom_site_label
_atom_site_fract_x
_atom_site_fract_y
_atom_site_fract_z
Sm1 0.500 0.000 0.000
Te1 0.337 0.407 0.675
Te2 0.332 0.930 0.664
Te3 0.995 0.254 0.990
Te4 0.663 0.593 0.325
Te5 0.005 0.746 0.010
Te6 0.668 0.070 0.336
Ho1 0.168 0.834 0.337
Ho2 0.500 0.500 0.000
Ho3 0.832 0.166 0.663
La1 0.166 0.332 0.332
La2 0.834 0.668 0.668

***

Entry 4:
# YHPt2 GGA-PBE relaxed
# Crystal system: cubic
# Uncorrected energy (Ha/atom): -0.2035
# Space group: Fm-3m, No. 225
data_YHPt2
_chemical_formula_sum 'Y1 H1 Pt2'
_space_group_name_H-M_alt 'P 1'
_space_group_IT_number 1
_cell_length_a 4.566
_cell_length_b 4.566
_cell_length_c 4.566
_cell_angle_alpha 60.00
_cell_angle_beta 60.00
_cell_angle_gamma 60.00
loop_
_space_group_symop_operation_xyz
'x,y,z'
loop_
_atom_site_label
_atom_site_fract_x
_atom_site_fract_y
_atom_site_fract_z
Pt1 0.750 0.750 0.750
Pt2 0.250 0.250 0.250
H1 0.000 0.000 0.000
Y1 0.500 0.500 0.500

***

Entry 5:
# PrAl2Ni3 GGA-PBE relaxed
# DFT formation energy (eV per atom): -0.53
# Crystal system: hexagonal
# Space group: P6/mmm, No. 191
data_PrAl2Ni3
_chemical_formula_sum 'Pr1 Al2 Ni3'
_space_group_name_H-M_alt 'P 1'
_space_group_IT_number 1
_cell_length_a 5.337
_cell_length_b 5.337
_cell_length_c 3.829
_cell_angle_alpha 90.00
_cell_angle_beta 90.00
_cell_angle_gamma 120.00
loop_
_space_group_symop_operation_xyz
'x,y,z'
loop_
_atom_site_label
_atom_site_fract_x
_atom_site_fract_y
_atom_site_fract_z
Al1 0.667 0.333 0.000
Al2 0.333 0.667 0.000
Ni1 0.000 0.500 0.500
Ni2 0.500 0.000 0.500
Ni3 0.500 0.500 0.500
Pr1 0.000 0.000 0.000

***

Entry 6:
# Hf2Cu2Si3 GGA-PBE relaxed
# Raw formation energy (eV per atom): -0.39
# Crystal system: monoclinic
# Space group: C2/m, No. 12
data_Hf2Cu2Si3
_chemical_formula_sum 'Hf4 Cu4 Si6'
_space_group_name_H-M_alt 'P 1'
_space_group_IT_number 1
_cell_length_a 3.897
_cell_length_b 7.164
_cell_length_c 8.737
_cell_angle_alpha 83.33
_cell_angle_beta 77.11
_cell_angle_gamma 74.22
loop_
_space_group_symop_operation_xyz
'x,y,z'
loop_
_atom_site_label
_atom_site_fract_x
_atom_site_fract_y
_atom_site_fract_z
Hf1 0.267 0.129 0.337
Hf2 0.585 0.759 0.072
Hf3 0.733 0.871 0.663
Hf4 0.415 0.241 0.928
Si1 0.171 0.489 0.169
Si2 0.093 0.939 0.874
Si3 0.390 0.759 0.462
Si4 0.610 0.241 0.538
Si5 0.829 0.511 0.831
Si6 0.907 0.061 0.126
Cu1 0.057 0.203 0.683
Cu2 0.603 0.467 0.327
Cu3 0.397 0.533 0.673
Cu4 0.943 0.797 0.317